Sc2NbAgH: relaxed, PBE-GGA.

Structure (POSCAR):
```
Sc2NbAgH
1.0
4.570 0.000 0.000
0.000 4.570 0.000
0.000 0.000 3.914
Sc H Nb Ag
2 1 1 1
direct
0.000 0.500 0.000
0.500 0.000 0.000
0.000 0.000 0.000
0.000 0.000 0.500
0.500 0.500 0.500
```

Output
Calculated volume, Å³/atom: 16.35
N(E_F), states/eV per atom: 0.851


NbSiAg2H: relaxed, PBE-GGA.

Structure (POSCAR):
```
NbSiAg2H
1.0
3.981 0.000 0.000
0.000 4.421 0.000
0.000 0.000 3.981
H Nb Si Ag
1 1 1 2
direct
0.000 0.000 0.000
0.000 0.500 0.000
0.500 0.500 0.500
0.000 0.000 0.500
0.500 0.000 0.000
```

Output
Calculated volume, Å³/atom: 14.01
N(E_F), states/eV per atom: 0.372


NbAgSnH2: relaxed, PBE-GGA.

Structure (POSCAR):
```
NbAgSnH2
1.0
3.853 0.000 0.000
0.000 5.540 0.000
0.000 0.000 3.853
H Nb Sn Ag
2 1 1 1
direct
0.000 0.000 0.500
0.500 0.000 0.000
0.000 0.000 0.000
0.500 0.500 0.500
0.000 0.500 0.000
```

Output
Calculated volume, Å³/atom: 16.45
N(E_F), states/eV per atom: 0.621
Polymorph energy (0 for the lowest one), meV per atom: 0


NbAgSnH2: relaxed, PBE-GGA.

Structure (POSCAR):
```
NbAgSnH2
1.0
-1.151 0.913 3.544
0.233 -5.666 1.535
3.657 0.441 1.074
H Nb Sn Ag
2 1 1 1
direct
0.000 0.000 0.500
0.500 0.000 0.000
0.500 0.500 0.500
0.000 0.500 0.000
0.000 0.000 0.000
```

Output
Calculated volume, Å³/atom: 17.30
N(E_F), states/eV per atom: 0.686
Polymorph energy (0 for the lowest one), meV per atom: 266


Nb2TcAgH: relaxed, PBE-GGA.

Structure (POSCAR):
```
Nb2TcAgH
1.0
4.164 0.000 0.000
0.000 4.164 0.000
0.000 0.000 4.016
H Nb Tc Ag
1 2 1 1
direct
0.000 0.000 0.000
0.000 0.500 0.000
0.500 0.000 0.000
0.000 0.000 0.500
0.500 0.500 0.500
```

Output
Calculated volume, Å³/atom: 13.92
N(E_F), states/eV per atom: 0.587
Polymorph energy (0 for the lowest one), meV per atom: 0


Nb2TcAgH: relaxed, PBE-GGA.

Structure (POSCAR):
```
Nb2TcAgH
1.0
-3.968 -1.185 0.070
1.098 -3.581 1.588
-0.401 1.568 3.813
H Nb Tc Ag
1 2 1 1
direct
0.000 0.000 0.000
0.000 0.000 0.500
0.500 0.000 0.000
0.500 0.500 0.500
0.000 0.500 0.000
```

Output
Calculated volume, Å³/atom: 13.96
N(E_F), states/eV per atom: 0.708
Polymorph energy (0 for the lowest one), meV per atom: 73


TiNb2AgH: relaxed, PBE-GGA.

Structure (POSCAR):
```
TiNb2AgH
1.0
4.068 0.000 0.000
0.000 4.068 0.000
0.000 0.000 4.403
H Nb Ag Ti
1 2 1 1
direct
0.000 0.000 0.000
0.000 0.500 0.000
0.500 0.000 0.000
0.500 0.500 0.500
0.000 0.000 0.500
```

Output
Calculated volume, Å³/atom: 14.57
N(E_F), states/eV per atom: 1.035


Ti2NbAgH: relaxed, PBE-GGA.

Structure (POSCAR):
```
Ti2NbAgH
1.0
-2.023 -3.429 -1.281
-0.411 -1.241 3.973
-3.526 1.985 0.255
H Nb Ag Ti
1 1 1 2
direct
0.000 0.000 0.000
0.000 0.000 0.500
0.500 0.500 0.500
0.000 0.500 0.000
0.500 0.000 0.000
```

Output
Calculated volume, Å³/atom: 14.19
N(E_F), states/eV per atom: 0.844


NbVAgH2: relaxed, PBE-GGA.

Structure (POSCAR):
```
NbVAgH2
1.0
-2.819 1.224 -2.161
-2.062 -4.265 0.274
-1.872 1.102 3.066
H Nb Ag V
2 1 1 1
direct
0.000 0.000 0.500
0.500 0.000 0.000
0.000 0.000 0.000
0.500 0.500 0.500
0.000 0.500 0.000
```

Output
Calculated volume, Å³/atom: 13.39
N(E_F), states/eV per atom: 0.478


Zr2NbAgH: relaxed, PBE-GGA.

Structure (POSCAR):
```
Zr2NbAgH
1.0
-2.554 2.598 2.880
2.584 -1.432 3.583
2.403 2.968 -0.547
H Nb Zr Ag
1 1 2 1
direct
0.000 0.000 0.000
0.000 0.000 0.500
0.000 0.500 0.000
0.500 0.000 0.000
0.500 0.500 0.500
```

Output
Calculated volume, Å³/atom: 16.64
N(E_F), states/eV per atom: 1.072


NdAgH: relaxed, PBE-GGA.

Structure (POSCAR):
```
NdAgH
1.0
3.844 0.000 0.000
-1.922 4.176 -0.069
0.000 -0.074 7.920
H Nd Ag
2 2 2
direct
0.657 0.314 0.968
0.343 0.686 0.032
0.160 0.319 0.819
0.840 0.681 0.181
0.149 0.298 0.412
0.851 0.702 0.588
```

Output
Calculated volume, Å³/atom: 21.19
N(E_F), states/eV per atom: 0.285
Polymorph energy (0 for the lowest one), meV per atom: 0


NdAgH: relaxed, PBE-GGA.

Structure (POSCAR):
```
NdAgH
1.0
-0.757 -0.467 3.311
2.221 -2.608 0.140
2.977 4.766 -0.423
H Nd Ag
1 1 1
direct
0.246 0.246 0.491
0.730 0.730 0.460
0.024 0.024 0.049
```

Output
Calculated volume, Å³/atom: 19.93
N(E_F), states/eV per atom: 0.639
Polymorph energy (0 for the lowest one), meV per atom: 110


no.,total DFT energy (no corrections) (eV per formula unit),M_tot (μB per cell)
1,-29.54,0.0
2,-23.72,0.0
3,-21.04,1.0
4,-19.71,1.3
5,-36.39,0.0
6,-36.02,0.0
7,-34.16,0.0
8,-32.33,0.0
9,-25.14,0.0
10,-33.79,0.0
11,-11.53,0.0
12,-11.20,0.2